LaCd3Os: optimized geometry, PBE.

CIF file:
```
data_LaCd3Os
_chemical_formula_sum 'La1 Cd3 Os1'
_cell_length_a 5.979
_cell_length_b 5.979
_cell_length_c 5.979
_cell_angle_alpha 90.00
_cell_angle_beta 90.00
_cell_angle_gamma 90.00
_space_group_name_H-M_alt 'P m -3 m'
_space_group_IT_number 221
_space_group_name_Hall '-P 4 2 3'
loop_
_atom_site_label
_atom_site_type_symbol
_atom_site_fract_x
_atom_site_fract_y
_atom_site_fract_z
La1 La 0.000 0.000 0.000
Cd1 Cd 0.000 0.000 0.500
Os1 Os 0.500 0.500 0.500
```

Values from the calculation:
ΔE to the lowest computed polymorph: 1678.0 meV per atom